Record 1
Here is an optimized crystal structure of Hf2Ga2Sb from Alexandria. Energies are from PBE.

The value obtained for the relative energy among the computed polymorphs is 0.002 eV per atom. Its total DFT energy (no corrections) is -62.813 eV/cell.

It has space group P4/mbm (No. 127), with a = 7.336 Å, b = 7.336 Å, c = 3.977 Å, α = 90.00°, β = 90.00° and γ = 90.00°. The inequivalent atoms are Hf at (0.162, 0.338, 0.000), Ga at (0.135, 0.635, 0.500) and Sb at (0.000, 0.000, 0.000).

***

Record 2
Here is an optimized crystal structure of Hf2GaSb2 from Alexandria. Energies are from PBE.

The value obtained for the relative energy among the computed polymorphs is 0.135 eV per atom. Its total DFT energy (no corrections) is -128.849 eV/cell.

It has space group Pnma (No. 62), with a = 8.221 Å, b = 5.546 Å, c = 10.694 Å, α = 90.00°, β = 90.00° and γ = 90.00°. The inequivalent atoms are Hf at (0.100, 0.250, 0.223), Hf at (0.106, 0.250, 0.917), Ga at (0.110, 0.750, 0.578), Sb at (0.062, 0.750, 0.317) and Sb at (0.193, 0.750, 0.945).

***

Record 3
Here is an optimized crystal structure of Hf4Ga2Sb5 from Alexandria. Energies are from PBE.

Its total DFT energy (no corrections) is -137.023 eV/cell.

It has space group C2/m (No. 12), with a = 18.895 Å, b = 3.950 Å, c = 7.558 Å, α = 90.00°, β = 104.47° and γ = 90.00°. The inequivalent atoms are Hf at (0.021, 0.000, 0.240), Hf at (0.203, 0.500, 0.270), Ga at (0.069, 0.500, 0.003), Sb at (0.000, 0.500, 0.500), Sb at (0.157, 0.000, 0.494) and Sb at (0.173, 0.000, 0.960).

***

Record 4
Here is an optimized crystal structure of Hf6Ga5Sb from Alexandria. Energies are from PBE.

Its total DFT energy (no corrections) is -164.228 eV/cell.

It has space group C2/m (No. 12), with a = 7.186 Å, b = 9.607 Å, c = 7.235 Å, α = 90.00°, β = 100.31° and γ = 90.00°. The inequivalent atoms are Hf at (0.237, 0.000, 0.246), Hf at (0.239, 0.172, 0.736), Ga at (0.000, 0.000, 0.500), Ga at (0.000, 0.172, 0.000), Ga at (0.000, 0.350, 0.500) and Sb at (0.000, 0.500, 0.000).

***

Record 5
Here is an optimized crystal structure of HfGaSb from Alexandria. Energies are from PBE.

The value obtained for the relative energy among the computed polymorphs is 0.348 eV per atom. Its total DFT energy (no corrections) is -17.106 eV/cell.

It has space group P3m1 (No. 156), with a = 4.9788 Å, b = 4.9788 Å, c = 2.9565 Å, α = 90.00°, β = 90.00° and γ = 120.00°. The inequivalent atoms are Hf at (0.0000, 0.0000, 0.0000), Ga at (0.6667, 0.3333, 0.4975) and Sb at (0.3333, 0.6667, 0.5001).

***

Record 6
Here is an optimized crystal structure of Hf5GaSb from Alexandria. Energies are from PBE.

Its total DFT energy (no corrections) is -227.939 eV/cell.

It has space group C2/c (No. 15), with a = 10.430 Å, b = 6.030 Å, c = 10.574 Å, α = 90.00°, β = 103.51° and γ = 90.00°. The inequivalent atoms are Hf at (0.000, 0.162, 0.250), Hf at (0.108, 0.166, 0.995), Hf at (0.243, 0.065, 0.752), Ga at (0.250, 0.250, 0.500) and Sb at (0.000, 0.352, 0.750).

***

Record 7
Here is an optimized crystal structure of Hf5Ga2Sb from Alexandria. Energies are from PBE.

Its total DFT energy (no corrections) is -254.543 eV/cell.

It has space group I4/mcm (No. 140), with a = 7.205 Å, b = 7.205 Å, c = 12.474 Å, α = 90.00°, β = 90.00° and γ = 90.00°. The inequivalent atoms are Hf at (0.000, 0.000, 0.000), Hf at (0.157, 0.343, 0.151), Ga at (0.138, 0.362, 0.500) and Sb at (0.000, 0.000, 0.250).

***

Record 8
Here is an optimized crystal structure of Hf5GaSb2 from Alexandria. Energies are from PBE.

Its total DFT energy (no corrections) is -242.263 eV/cell.

It has space group Cmcm (No. 63), with a = 5.013 Å, b = 13.403 Å, c = 12.136 Å, α = 90.00°, β = 90.00° and γ = 90.00°. The inequivalent atoms are Hf at (0.000, 0.102, 0.126), Hf at (0.000, 0.309, 0.750), Hf at (0.000, 0.312, 0.019), Ga at (0.000, 0.288, 0.250) and Sb at (0.000, 0.113, 0.617).

***

Record 9
Here is an optimized crystal structure of Hf2Ga2Sb from Alexandria. Energies are from PBE.

The value obtained for the relative energy among the computed polymorphs is 0.000 eV per atom. Its total DFT energy (no corrections) is -62.835 eV/cell.

It has space group I4/mmm (No. 139), with a = 3.699 Å, b = 3.699 Å, c = 15.170 Å, α = 90.00°, β = 90.00° and γ = 90.00°. The inequivalent atoms are Hf at (0.000, 0.000, 0.103), Ga at (0.000, 0.500, 0.250) and Sb at (0.000, 0.000, 0.500).

***

Record 10
Here is an optimized crystal structure of Hf2GaSb2 from Alexandria. Energies are from PBE.

The value obtained for the relative energy among the computed polymorphs is 0.201 eV per atom. Its total DFT energy (no corrections) is -63.773 eV/cell.

It has space group P4/mbm (No. 127), with a = 7.962 Å, b = 7.962 Å, c = 3.712 Å, α = 90.00°, β = 90.00° and γ = 90.00°. The inequivalent atoms are Hf at (0.138, 0.362, 0.000), Ga at (0.000, 0.000, 0.500) and Sb at (0.153, 0.653, 0.500).

***

Record 11
Here is an optimized crystal structure of Hf2GaSb2 from Alexandria. Energies are from PBE.

The value obtained for the relative energy among the computed polymorphs is 0.000 eV per atom. Its total DFT energy (no corrections) is -65.779 eV/cell.

It has space group P4/mbm (No. 127), with a = 7.607 Å, b = 7.607 Å, c = 3.913 Å, α = 90.00°, β = 90.00° and γ = 90.00°. The inequivalent atoms are Hf at (0.151, 0.349, 0.000), Ga at (0.000, 0.000, 0.000) and Sb at (0.150, 0.650, 0.500).

***

Record 12
Here is an optimized crystal structure of Hf3GaSb from Alexandria. Energies are from PBE.

The value obtained for the relative energy among the computed polymorphs is 0.000 eV per atom. Its total DFT energy (no corrections) is -309.108 eV/cell.

It has space group C2/c (No. 15), with a = 15.028 Å, b = 5.515 Å, c = 10.342 Å, α = 90.00°, β = 102.17° and γ = 90.00°. The inequivalent atoms are Hf at (0.060, 0.248, 0.015), Hf at (0.100, 0.473, 0.772), Hf at (0.201, 0.035, 0.272), Ga at (0.000, 0.022, 0.250), Ga at (0.250, 0.250, 0.000) and Sb at (0.141, 0.249, 0.521).

***

Record 13
Here is an optimized crystal structure of Hf8GaSb2 from Alexandria. Energies are from PBE.

Its total DFT energy (no corrections) is -187.422 eV/cell.

It has space group C2/m (No. 12), with a = 16.611 Å, b = 3.838 Å, c = 7.672 Å, α = 90.00°, β = 90.36° and γ = 90.00°. The inequivalent atoms are Hf at (0.029, 0.000, 0.253), Hf at (0.088, 0.500, 0.972), Hf at (0.163, 0.500, 0.445), Hf at (0.206, 0.000, 0.138), Ga at (0.000, 0.500, 0.500) and Sb at (0.170, 0.000, 0.737).

***

Record 14
Here is an optimized crystal structure of HfSc2GaSb from Alexandria. Energies are from PBE.

Its total DFT energy (no corrections) is -27.396 eV/cell.

It has space group P4/mmm (No. 123), with a = 4.996 Å, b = 4.996 Å, c = 5.220 Å, α = 90.00°, β = 90.00° and γ = 90.00°. The inequivalent atoms are Hf at (0.000, 0.000, 0.000), Sc at (0.000, 0.500, 0.500), Ga at (0.500, 0.500, 0.500) and Sb at (0.500, 0.500, 0.000).

***

Record 15
Here is an optimized crystal structure of HfGaSb2Te from Alexandria. Energies are from PBE.

The value obtained for the relative energy among the computed polymorphs is 0.554 eV per atom. Its total DFT energy (no corrections) is -20.884 eV/cell.

It has space group P4/mmm (No. 123), with a = 5.189 Å, b = 5.189 Å, c = 5.265 Å, α = 90.00°, β = 90.00° and γ = 90.00°. The inequivalent atoms are Hf at (0.000, 0.000, 0.000), Ga at (0.500, 0.500, 0.500), Sb at (0.000, 0.500, 0.500) and Te at (0.500, 0.500, 0.000).

***

Record 16
Here is an optimized crystal structure of HfGaSbTe2 from Alexandria. Energies are from PBE.

The value obtained for the relative energy among the computed polymorphs is 0.000 eV per atom. Its total DFT energy (no corrections) is -23.452 eV/cell.

It has space group P4/mmm (No. 123), with a = 5.579 Å, b = 5.579 Å, c = 5.573 Å, α = 90.00°, β = 90.00° and γ = 90.00°. The inequivalent atoms are Hf at (0.000, 0.000, 0.000), Ga at (0.500, 0.500, 0.500), Sb at (0.000, 0.000, 0.500) and Te at (0.000, 0.500, 0.000).

***

Record 17
Here is an optimized crystal structure of HfGaSbTe2 from Alexandria. Energies are from PBE.

The value obtained for the relative energy among the computed polymorphs is 0.612 eV per atom. Its total DFT energy (no corrections) is -20.392 eV/cell.

It has space group P4/mmm (No. 123), with a = 5.278 Å, b = 5.278 Å, c = 5.145 Å, α = 90.00°, β = 90.00° and γ = 90.00°. The inequivalent atoms are Hf at (0.000, 0.000, 0.000), Ga at (0.500, 0.500, 0.500), Sb at (0.500, 0.500, 0.000) and Te at (0.000, 0.500, 0.500).

***

Record 18
Here is an optimized crystal structure of HfGaSb2Te from Alexandria. Energies are from PBE.

The value obtained for the relative energy among the computed polymorphs is 0.000 eV per atom. Its total DFT energy (no corrections) is -23.653 eV/cell.

It has space group P4/mmm (No. 123), with a = 5.543 Å, b = 5.543 Å, c = 5.582 Å, α = 90.00°, β = 90.00° and γ = 90.00°. The inequivalent atoms are Hf at (0.000, 0.000, 0.000), Ga at (0.500, 0.500, 0.500), Sb at (0.000, 0.500, 0.000) and Te at (0.000, 0.000, 0.500).

***

Record 19
Here is an optimized crystal structure of HfGaSb2W from Alexandria. Energies are from PBE.

Its total DFT energy (no corrections) is -28.085 eV/cell.

It has space group P4/mmm (No. 123), with a = 5.462 Å, b = 5.462 Å, c = 5.136 Å, α = 90.00°, β = 90.00° and γ = 90.00°. The inequivalent atoms are Hf at (0.000, 0.000, 0.000), Ga at (0.500, 0.500, 0.500), Sb at (0.000, 0.500, 0.000) and W at (0.000, 0.000, 0.500).

***

Record 20
Here is an optimized crystal structure of HfSc5Ga6 from Alexandria. Energies are from PBE.

Its total DFT energy (no corrections) is -132.479 eV/cell.

It has space group C2/m (No. 12), with a = 15.007 Å, b = 6.633 Å, c = 4.775 Å, α = 90.00°, β = 108.19° and γ = 90.00°. The inequivalent atoms are Hf at (0.000, 0.000, 0.000), Sc at (0.000, 0.500, 0.000), Sc at (0.165, 0.000, 0.665), Sc at (0.169, 0.500, 0.669), Ga at (0.000, 0.252, 0.500) and Ga at (0.167, 0.251, 0.167).

***

Record 21
Here is an optimized crystal structure of HfSc2Ga3 from Alexandria. Energies are from PBE.

Its total DFT energy (no corrections) is -69.125 eV/cell.

It has space group Cmmm (No. 65), with a = 4.756 Å, b = 14.182 Å, c = 3.347 Å, α = 90.00°, β = 90.00° and γ = 90.00°. The inequivalent atoms are Hf at (0.000, 0.000, 0.000), Sc at (0.000, 0.334, 0.000), Ga at (0.000, 0.167, 0.500) and Ga at (0.000, 0.500, 0.500).

***

Record 22
Here is an optimized crystal structure of Hf5ScGa5 from Alexandria. Energies are from PBE.

Its total DFT energy (no corrections) is -144.946 eV/cell.

It has space group C2/m (No. 12), with a = 14.679 Å, b = 5.031 Å, c = 6.146 Å, α = 90.00°, β = 102.70° and γ = 90.00°. The inequivalent atoms are Hf at (0.000, 0.000, 0.000), Hf at (0.133, 0.500, 0.908), Hf at (0.165, 0.500, 0.414), Sc at (0.000, 0.000, 0.500), Ga at (0.000, 0.500, 0.500), Ga at (0.177, 0.000, 0.761) and Ga at (0.181, 0.000, 0.209).